# 1
A plane-wave DFT calculation with PBE was carried out for a relaxed Hf3CrSe crystal.

Summary:
Calculated density ... 9.4 g/cm³
Relative energy among the computed polymorphs ... 0.00 eV/f.u.
Formation energy without anion corrections ... 0.3855 eV/atom
Space group ... Pm-3m

abc: 4.9046 4.9046 4.9046
angles: 90.00 90.00 90.00
Sites, in units of the cell vectors:
Hf  0.0000  0.0000  0.5000
Hf  0.0000  0.5000  0.0000
Hf  0.5000  0.0000  0.0000
Cr  0.5000  0.5000  0.5000
Se  0.0000  0.0000  0.0000

---

# 2
A plane-wave DFT calculation with PBE was carried out for a relaxed GdNpIrPd crystal.

Summary:
Calculated density ... 13.7 g/cm³
Space group ... F-43m
Energy of formation from the pure elements ... -0.45 eV per atom

abc: 6.9510 6.9510 6.9510
angles: 90.00 90.00 90.00
Sites, in units of the cell vectors:
Gd  0.0000  0.0000  0.0000
Gd  0.0000  0.5000  0.5000
Gd  0.5000  0.0000  0.5000
Gd  0.5000  0.5000  0.0000
Np  0.0000  0.0000  0.5000
Np  0.0000  0.5000  0.0000
Np  0.5000  0.0000  0.0000
Np  0.5000  0.5000  0.5000
Ir  0.2500  0.2500  0.2500
Ir  0.2500  0.7500  0.7500
Ir  0.7500  0.2500  0.7500
Ir  0.7500  0.7500  0.2500
Pd  0.2500  0.2500  0.7500
Pd  0.2500  0.7500  0.2500
Pd  0.7500  0.2500  0.2500
Pd  0.7500  0.7500  0.7500

---

# 3
A plane-wave DFT calculation with PBE was carried out for a relaxed PmAlGa2Pd4 crystal.

Summary:
Calculated density ... 8.7 g/cm³
Space group ... R-3m
Energy of formation from the pure elements ... -0.78 eV per atom

abc: 8.9595 8.9595 8.9595
angles: 28.02 28.02 28.02
Sites, in units of the cell vectors:
Pm  0.0000  0.0000  0.0000
Al  0.5000  0.5000  0.5000
Ga  0.2442  0.2442  0.2442
Ga  0.7558  0.7558  0.7558
Pd  0.1353  0.1353  0.1353
Pd  0.4034  0.4034  0.4034
Pd  0.5966  0.5966  0.5966
Pd  0.8647  0.8647  0.8647

---

# 4
A plane-wave DFT calculation with PBE was carried out for a relaxed Ac3Nd6Ho crystal.

Summary:
Calculated density ... 7.3 g/cm³
Space group ... R-3
Energy of formation from the pure elements ... 0.34 eV per atom

abc: 7.3148 7.3148 7.3148
angles: 88.60 88.60 88.60
Sites, in units of the cell vectors:
Ac  0.0000  0.0000  0.0000
Ac  0.2575  0.2575  0.2575
Ac  0.7425  0.7425  0.7425
Nd  0.0956  0.4233  0.7492
Nd  0.2508  0.9044  0.5767
Nd  0.4233  0.7492  0.0956
Nd  0.5767  0.2508  0.9044
Nd  0.7492  0.0956  0.4233
Nd  0.9044  0.5767  0.2508
Ho  0.5000  0.5000  0.5000

---

# 5
A plane-wave DFT calculation with PBE was carried out for a relaxed AcLa6Pr3 crystal.

Summary:
Calculated density ... 6.4 g/cm³
Relative energy among the computed polymorphs ... 0.53 eV/f.u.
Space group ... R3
Energy of formation from the pure elements ... 0.22 eV per atom

abc: 7.2700 7.2700 7.2700
angles: 90.11 90.11 90.11
Sites, in units of the cell vectors:
Ac  0.0000  0.0000  0.0000
La  0.0010  0.3418  0.6740
La  0.1839  0.8301  0.5011
La  0.3418  0.6741  0.0010
La  0.5011  0.1839  0.8301
La  0.6740  0.0010  0.3418
La  0.8301  0.5011  0.1839
Pr  0.2596  0.2596  0.2596
Pr  0.4996  0.4996  0.4996
Pr  0.7448  0.7448  0.7448

---

# 6
A plane-wave DFT calculation with PBE was carried out for a relaxed HfRePbO6 crystal.

Summary:
Calculated density ... 7.4 g/cm³
Formation energy without anion corrections ... -1.9970 eV/atom
Space group ... Imma

abc: 7.5638 7.5638 7.5638
angles: 122.61 120.06 87.71
Sites, in units of the cell vectors:
Hf  0.0000  0.0000  0.0000
Hf  0.5000  0.0000  0.5000
Re  0.5000  0.0000  0.0000
Re  0.5000  0.5000  0.5000
Pb  0.0244  0.2744  0.7500
Pb  0.9756  0.7256  0.2500
O  0.1792  0.9292  0.2500
O  0.2038  0.3260  0.2611
O  0.2038  0.9427  0.8778
O  0.4351  0.0573  0.7611
O  0.4351  0.6740  0.3778
O  0.4480  0.6980  0.7500
O  0.5520  0.3020  0.2500
O  0.5649  0.3260  0.6222
O  0.5649  0.9427  0.2389
O  0.7962  0.0573  0.1222
O  0.7962  0.6740  0.7389
O  0.8208  0.0708  0.7500

---

# 7
A plane-wave DFT calculation with PBE was carried out for a relaxed YMgZr2 crystal.

Summary:
Calculated density ... 5.0 g/cm³
Space group ... F-43m
Energy of formation from the pure elements ... 0.15 eV per atom

abc: 7.3419 7.3419 7.3419
angles: 90.00 90.00 90.00
Sites, in units of the cell vectors:
Y  0.0000  0.0000  0.0000
Y  0.0000  0.5000  0.5000
Y  0.5000  0.0000  0.5000
Y  0.5000  0.5000  0.0000
Mg  0.2500  0.2500  0.7500
Mg  0.2500  0.7500  0.2500
Mg  0.7500  0.2500  0.2500
Mg  0.7500  0.7500  0.7500
Zr  0.0000  0.0000  0.5000
Zr  0.0000  0.5000  0.0000
Zr  0.2500  0.2500  0.2500
Zr  0.2500  0.7500  0.7500
Zr  0.5000  0.0000  0.0000
Zr  0.5000  0.5000  0.5000
Zr  0.7500  0.2500  0.7500
Zr  0.7500  0.7500  0.2500

---

# 8
A plane-wave DFT calculation with PBE was carried out for a relaxed Ga2OsRu2 crystal.

Summary:
Calculated density ... 10.7 g/cm³
Relative energy among the computed polymorphs ... 2.42 eV/f.u.
Space group ... I4/mmm
Energy of formation from the pure elements ... 0.74 eV per atom

abc: 4.6788 4.6788 7.5121
angles: 90.00 90.00 90.00
Sites, in units of the cell vectors:
Ga  0.0000  0.5000  0.2500
Ga  0.0000  0.5000  0.7500
Ga  0.5000  0.0000  0.2500
Ga  0.5000  0.0000  0.7500
Os  0.0000  0.0000  0.0000
Os  0.5000  0.5000  0.5000
Ru  0.0000  0.0000  0.3462
Ru  0.0000  0.0000  0.6538
Ru  0.5000  0.5000  0.1538
Ru  0.5000  0.5000  0.8462

---

# 9
A plane-wave DFT calculation with PBE was carried out for a relaxed Re2HgSe crystal.

Summary:
Calculated density ... 14.6 g/cm³
Relative energy among the computed polymorphs ... 1.57 eV/f.u.
Formation energy without anion corrections ... 0.7183 eV/atom
Space group ... Cm

abc: 10.3267 2.9341 5.1594
angles: 90.00 108.55 90.00
Sites, in units of the cell vectors:
Re  0.0000  0.0000  0.0000
Re  0.2190  0.5000  0.1108
Re  0.5000  0.5000  0.0000
Re  0.7190  0.0000  0.1108
Hg  0.2321  0.0000  0.6392
Hg  0.7321  0.5000  0.6392
Se  0.4396  0.0000  0.3296
Se  0.9396  0.5000  0.3296

---

# 10
A plane-wave DFT calculation with PBE was carried out for a relaxed NbAgHg3 crystal.

Summary:
Calculated density ... 8.3 g/cm³
Relative energy among the computed polymorphs ... 0.00 eV/f.u.
Space group ... Pm-3m
Energy of formation from the pure elements ... 0.93 eV per atom

abc: 5.4340 5.4340 5.4340
angles: 90.00 90.00 90.00
Sites, in units of the cell vectors:
Nb  0.0000  0.0000  0.0000
Ag  0.5000  0.5000  0.5000
Hg  0.0000  0.0000  0.5000
Hg  0.0000  0.5000  0.0000
Hg  0.5000  0.0000  0.0000

---

# 11
A plane-wave DFT calculation with PBE was carried out for a relaxed Ca2VGaSe crystal.

Summary:
Calculated density ... 3.0 g/cm³
Formation energy without anion corrections ... 0.1493 eV/atom
Space group ... P4/mmm

abc: 5.7957 5.7957 4.6064
angles: 90.00 90.00 90.00
Sites, in units of the cell vectors:
Ca  0.0000  0.5000  0.0000
Ca  0.5000  0.0000  0.0000
V  0.0000  0.0000  0.0000
Ga  0.5000  0.5000  0.5000
Se  0.0000  0.0000  0.5000

---

# 12
A plane-wave DFT calculation with PBE was carried out for a relaxed Tc2NiBr crystal.

Summary:
Calculated density ... 9.1 g/cm³
Relative energy among the computed polymorphs ... 2.12 eV/f.u.
Formation energy without anion corrections ... 0.9133 eV/atom
Space group ... C2/m

abc: 5.0680 8.8145 3.0897
angles: 90.00 118.26 90.00
Sites, in units of the cell vectors:
Tc  0.2500  0.2500  0.0000
Tc  0.2500  0.7500  0.0000
Tc  0.7500  0.2500  0.0000
Tc  0.7500  0.7500  0.0000
Ni  0.0000  0.0000  0.5000
Ni  0.5000  0.5000  0.5000
Br  0.0000  0.5000  0.5000
Br  0.5000  0.0000  0.5000

---

# 13
A plane-wave DFT calculation with PBE was carried out for a relaxed Tb4PmGa5 crystal.

Summary:
Calculated density ... 8.0 g/cm³
Space group ... P4/mmm
Energy of formation from the pure elements ... -0.58 eV per atom

abc: 3.5999 3.5999 18.0247
angles: 90.00 90.00 90.00
Sites, in units of the cell vectors:
Tb  0.0000  0.0000  0.0989
Tb  0.0000  0.0000  0.2966
Tb  0.0000  0.0000  0.7034
Tb  0.0000  0.0000  0.9011
Pm  0.0000  0.0000  0.5000
Ga  0.5000  0.5000  0.0000
Ga  0.5000  0.5000  0.1977
Ga  0.5000  0.5000  0.3944
Ga  0.5000  0.5000  0.6056
Ga  0.5000  0.5000  0.8023

---

# 14
A plane-wave DFT calculation with PBE was carried out for a relaxed La3ZrH crystal.

Summary:
Calculated density ... 6.4 g/cm³
Relative energy among the computed polymorphs ... 0.00 eV/f.u.
Space group ... Pm-3m

abc: 5.1027 5.1027 5.1027
angles: 90.00 90.00 90.00
Sites, in units of the cell vectors:
La  0.0000  0.0000  0.5000
La  0.0000  0.5000  0.0000
La  0.5000  0.0000  0.0000
Zr  0.5000  0.5000  0.5000
H  0.0000  0.0000  0.0000